## MgIn2W (PBE)

Data for MgIn2W after structural relaxation.

Energy = -4.62 eV/atom
Space-group type = No. 139

Unit cell a=5.318 b=5.318 c=5.318 alpha=133.83 beta=133.83 gamma=67.36
Atoms (fractional coordinates):
1 In 0.000 0.000 0.000
2 In 0.500 0.500 0.000
3 Mg 0.250 0.750 0.500
4 W 0.750 0.250 0.500